(1)
First-principles (PBE-GGA) data for crystalline Pr3Ga4Au4 at its relaxed geometry, as listed in the Alexandria database.

a = 4.5575 Å, b = 4.1397 Å, c = 13.5119 Å
α = 98.81°, β = 99.71°, γ = 90.00°
Fractional coordinates of all 11 atoms:
1 Pr 0.3519 0.8519 0.7038
2 Pr 0.6481 0.1481 0.2962
3 Pr 0.0000 0.0000 0.0000
4 Ga 0.8074 0.3074 0.6148
5 Ga 0.4517 0.4517 0.9033
6 Ga 0.5483 0.5483 0.0967
7 Ga 0.1926 0.6926 0.3852
8 Au 0.2535 0.2535 0.5070
9 Au 0.0952 0.5952 0.1904
10 Au 0.9048 0.4048 0.8096
11 Au 0.7465 0.7465 0.4930

The calculation puts the formation energy at -66 kJ per mole of atoms. For the magnetic moment, the calculation gives 0.000 μB per formula unit. As for the symmetry: Immm (71). The energy above the most stable polymorph in this dataset is 6.5 meV per atom. The calculated volume comes out at 22.57 Å³/atom.

(2)
First-principles (PBE-GGA) data for crystalline Na2LiGaAu at its relaxed geometry, as listed in the Alexandria database.

a = 5.4701 Å, b = 4.9281 Å, c = 5.4701 Å
α = 90.00°, β = 90.00°, γ = 90.00°
Last column: magnetic moment on the atom in μB.
Fractional coordinates of all 5 atoms:
1 Na 0.0000 0.0000 0.5000  0.01
2 Na 0.5000 0.0000 0.0000  0.01
3 Au 0.5000 0.5000 0.5000  0.02
4 Ga 0.0000 0.0000 0.0000  0.19
5 Li 0.0000 0.5000 0.0000  0.03

The calculation puts the formation energy at 31 kJ per mole of atoms. For the magnetic moment, the calculation gives 0.660 μB per formula unit. As for the symmetry: P4/mmm (123). The calculated volume comes out at 29.49 Å³/atom.